No. 1
VASP calculation (PBEsol) on Na9W13O39 after structural relaxation.

Summary:
The density of states at the Fermi level is 0.164 states/eV/atom. Its magnetization is 0.000 μB per atom. The value obtained for the uncorrected energy is -0.638 Ry/atom. For the volume, the calculation gives 746.0 Å³/cell. For the raw formation energy, the calculation gives -12774 kJ/mol of formula units.

```
Na9W13O39
1.0
5.454 0.000 0.000
-2.727 11.244 -0.001
0.000 -3.966 12.165
Na W O
9 13 39
direct
0.882 0.765 0.343 Na
0.963 0.926 0.116 Na
0.345 0.689 0.960 Na
0.037 0.074 0.884 Na
0.500 0.000 0.500 Na
0.655 0.311 0.040 Na
0.118 0.235 0.657 Na
0.192 0.383 0.419 Na
0.808 0.617 0.581 Na
0.346 0.691 0.462 W
0.884 0.768 0.845 W
0.423 0.845 0.230 W
0.730 0.460 0.306 W
0.807 0.614 0.076 W
0.500 0.000 0.000 W
0.270 0.540 0.694 W
0.961 0.922 0.617 W
0.193 0.386 0.924 W
0.577 0.155 0.770 W
0.654 0.309 0.538 W
0.116 0.232 0.155 W
0.039 0.078 0.383 W
0.382 0.268 0.846 O
0.923 0.346 0.231 O
0.344 0.193 0.463 O
0.923 0.846 0.731 O
0.228 0.960 0.308 O
0.386 0.771 0.348 O
0.769 0.538 0.192 O
0.847 0.694 0.963 O
0.886 0.268 0.846 O
0.541 0.577 0.386 O
0.307 0.614 0.576 O
0.114 0.732 0.154 O
0.190 0.885 0.925 O
0.810 0.115 0.075 O
0.656 0.807 0.537 O
0.036 0.577 0.386 O
0.540 0.079 0.886 O
0.459 0.423 0.614 O
0.614 0.229 0.652 O
0.618 0.732 0.154 O
0.077 0.154 0.269 O
0.000 0.000 0.500 O
0.577 0.654 0.769 O
0.500 0.500 0.000 O
0.849 0.193 0.463 O
0.732 0.960 0.308 O
0.693 0.386 0.424 O
0.000 0.500 0.000 O
0.153 0.306 0.037 O
0.772 0.040 0.692 O
0.695 0.885 0.925 O
0.077 0.654 0.769 O
0.151 0.807 0.537 O
0.305 0.115 0.075 O
0.964 0.423 0.614 O
0.460 0.921 0.114 O
0.268 0.040 0.692 O
0.423 0.346 0.231 O
0.231 0.462 0.808 O
```

***

No. 2
VASP calculation (PBEsol) on Na5W7O21 after structural relaxation.

Summary:
The density of states at the Fermi level is 0.160 states/eV/atom. Its magnetization is 0.000 μB per atom. The value obtained for the uncorrected energy is -0.636 Ry/atom. For the volume, the calculation gives 402.3 Å³/cell. For the raw formation energy, the calculation gives -6907 kJ/mol of formula units.

```
Na5W7O21
1.0
-4.964 0.547 -2.201
-2.702 0.077 6.114
4.446 10.670 -0.609
O W Na
21 7 5
direct
0.785 0.859 0.570 O
0.854 0.068 0.214 O
0.071 0.717 0.142 O
0.217 0.643 0.930 O
0.287 0.357 0.070 O
0.929 0.283 0.858 O
0.359 0.068 0.214 O
0.713 0.643 0.930 O
0.569 0.211 0.642 O
0.000 0.500 0.500 O
0.500 0.500 0.500 O
0.643 0.428 0.286 O
0.431 0.789 0.358 O
0.215 0.141 0.430 O
0.783 0.357 0.070 O
0.500 0.000 0.000 O
0.927 0.789 0.358 O
0.073 0.211 0.642 O
0.146 0.932 0.786 O
0.641 0.932 0.786 O
0.357 0.572 0.714 O
0.428 0.784 0.856 W
0.572 0.216 0.144 W
0.143 0.928 0.286 W
0.715 0.640 0.429 W
0.285 0.360 0.571 W
0.000 0.500 0.000 W
0.857 0.072 0.714 W
0.573 0.711 0.146 Na
0.000 0.000 0.000 Na
0.715 0.150 0.430 Na
0.427 0.289 0.854 Na
0.285 0.850 0.570 Na
```

***

No. 3
VASP calculation (PBEsol) on Na5W14O42 after structural relaxation.

Summary:
The density of states at the Fermi level is 0.093 states/eV/atom. Its magnetization is 0.000 μB per atom. The value obtained for the uncorrected energy is -0.667 Ry/atom. For the volume, the calculation gives 787.7 Å³/cell. For the raw formation energy, the calculation gives -12791 kJ/mol of formula units.

```
Na5W14O42
1.0
5.418 0.000 0.000
0.000 7.665 0.000
-2.709 -3.833 18.968
Na O W
5 42 14
direct
0.928 0.428 0.856 Na
0.785 0.786 0.571 Na
0.215 0.214 0.429 Na
0.072 0.572 0.144 Na
0.500 0.000 0.000 Na
0.856 0.856 0.713 O
0.142 0.642 0.284 O
0.141 0.145 0.786 O
0.500 0.000 0.500 O
0.286 0.286 0.071 O
0.286 0.786 0.071 O
0.931 0.931 0.358 O
0.069 0.573 0.642 O
0.285 0.285 0.570 O
0.714 0.214 0.929 O
0.500 0.500 0.500 O
0.573 0.069 0.642 O
0.572 0.572 0.143 O
0.714 0.214 0.429 O
0.571 0.071 0.142 O
0.286 0.786 0.571 O
0.214 0.714 0.929 O
0.355 0.359 0.214 O
0.859 0.359 0.214 O
0.786 0.786 0.071 O
0.214 0.214 0.929 O
0.427 0.931 0.358 O
0.000 0.500 0.000 O
0.144 0.144 0.287 O
0.715 0.715 0.430 O
0.000 0.500 0.500 O
0.069 0.069 0.642 O
0.355 0.855 0.214 O
0.573 0.573 0.642 O
0.427 0.427 0.358 O
0.859 0.855 0.214 O
0.858 0.358 0.716 O
0.645 0.641 0.786 O
0.931 0.427 0.358 O
0.786 0.286 0.071 O
0.428 0.428 0.857 O
0.141 0.641 0.786 O
0.429 0.929 0.858 O
0.000 0.000 0.500 O
0.000 0.000 0.000 O
0.714 0.714 0.929 O
0.645 0.145 0.786 O
0.857 0.107 0.714 W
0.714 0.963 0.428 W
0.286 0.037 0.572 W
0.572 0.823 0.144 W
0.286 0.535 0.572 W
0.857 0.607 0.714 W
0.000 0.750 0.000 W
0.143 0.893 0.286 W
0.714 0.465 0.428 W
0.143 0.393 0.286 W
0.428 0.177 0.856 W
0.000 0.250 0.000 W
0.572 0.321 0.144 W
0.428 0.679 0.856 W
```

***

No. 4
VASP calculation (PBEsol) on Na3W4O12 after structural relaxation.

Summary:
The density of states at the Fermi level is 0.139 states/eV/atom. Its magnetization is 0.000 μB per atom. The value obtained for the uncorrected energy is -0.633 Ry/atom. For the volume, the calculation gives 457.4 Å³/cell. For the raw formation energy, the calculation gives -3971 kJ/mol of formula units.

```
Na3W4O12
1.0
-2.778 -5.862 1.565
2.334 -4.739 -4.078
8.138 -1.975 6.978
Na O W
6 24 8
direct
0.751 0.751 0.746 Na
0.998 0.998 0.004 Na
0.249 0.249 0.254 Na
0.249 0.249 0.746 Na
0.502 0.502 0.005 Na
0.502 0.502 0.496 Na
0.016 0.016 0.754 O
0.879 0.355 0.117 O
0.364 0.897 0.369 O
0.140 0.599 0.130 O
0.644 0.121 0.882 O
0.753 0.753 0.013 O
0.255 0.255 0.513 O
0.856 0.383 0.619 O
0.897 0.364 0.369 O
0.121 0.644 0.882 O
0.383 0.856 0.619 O
0.989 0.989 0.245 O
0.633 0.102 0.633 O
0.144 0.617 0.381 O
0.102 0.633 0.633 O
0.355 0.879 0.117 O
0.617 0.144 0.381 O
0.402 0.862 0.868 O
0.862 0.402 0.868 O
0.511 0.511 0.254 O
0.247 0.247 0.984 O
0.745 0.745 0.488 O
0.484 0.484 0.747 O
0.599 0.140 0.130 O
0.249 0.751 0.748 W
0.249 0.751 0.252 W
0.751 0.249 0.252 W
0.999 0.501 0.002 W
0.998 0.501 0.498 W
0.501 0.999 0.002 W
0.501 0.998 0.498 W
0.751 0.249 0.748 W
```

***

No. 5
VASP calculation (PBEsol) on Na6W7O21 after structural relaxation.

Summary:
The density of states at the Fermi level is 0.174 states/eV/atom. Its magnetization is 0.000 μB per atom. The value obtained for the uncorrected energy is -0.624 Ry/atom. For the volume, the calculation gives 405.9 Å³/cell. For the raw formation energy, the calculation gives -7069 kJ/mol of formula units.

```
Na6W7O21
1.0
6.703 0.000 0.000
-2.234 8.362 0.000
-2.234 -4.181 7.242
Na O W
6 21 7
direct
0.858 0.425 0.142 Na
0.716 0.858 0.283 Na
0.567 0.283 0.425 Na
0.284 0.142 0.717 Na
0.142 0.575 0.858 Na
0.433 0.717 0.575 Na
0.216 0.856 0.784 O
0.432 0.216 0.072 O
0.072 0.786 0.429 O
0.500 0.000 0.500 O
0.000 0.500 0.500 O
0.928 0.712 0.072 O
0.784 0.144 0.216 O
0.286 0.643 0.214 O
0.216 0.360 0.288 O
0.500 0.500 0.000 O
0.568 0.784 0.928 O
0.643 0.571 0.357 O
0.360 0.928 0.144 O
0.856 0.928 0.640 O
0.928 0.214 0.571 O
0.144 0.072 0.360 O
0.640 0.072 0.856 O
0.784 0.640 0.712 O
0.714 0.357 0.786 O
0.357 0.429 0.643 O
0.072 0.288 0.928 O
0.070 0.284 0.426 W
0.930 0.716 0.574 W
0.500 0.000 0.000 W
0.644 0.574 0.858 W
0.786 0.142 0.716 W
0.356 0.426 0.142 W
0.214 0.858 0.284 W
```

***

No. 6
VASP calculation (PBEsol) on Na9W16O48 after structural relaxation.

Summary:
The density of states at the Fermi level is 0.171 states/eV/atom. Its magnetization is 0.000 μB per atom. The value obtained for the uncorrected energy is -0.649 Ry/atom. For the volume, the calculation gives 905.5 Å³/cell. For the raw formation energy, the calculation gives -15327 kJ/mol of formula units.

```
Na9W16O48
1.0
-1.878 4.263 4.746
-6.527 -0.638 1.104
4.067 -15.075 15.098
O W Na
48 16 9
direct
0.393 0.872 0.316 O
0.105 0.629 0.934 O
0.389 0.849 0.940 O
0.511 0.511 0.626 O
0.611 0.151 0.060 O
0.373 0.892 0.566 O
0.872 0.393 0.316 O
0.859 0.384 0.439 O
0.141 0.616 0.561 O
0.108 0.627 0.434 O
0.358 0.885 0.689 O
0.988 0.988 0.624 O
0.849 0.389 0.940 O
0.606 0.128 0.183 O
0.252 0.252 0.756 O
0.356 0.886 0.190 O
0.115 0.642 0.311 O
0.885 0.358 0.689 O
0.607 0.128 0.684 O
0.627 0.108 0.434 O
0.489 0.489 0.374 O
0.616 0.141 0.561 O
0.248 0.248 0.494 O
0.384 0.859 0.439 O
0.371 0.895 0.066 O
0.515 0.515 0.125 O
0.892 0.373 0.566 O
0.012 0.012 0.376 O
0.629 0.105 0.934 O
0.250 0.250 0.992 O
0.886 0.356 0.190 O
0.394 0.872 0.817 O
0.748 0.748 0.744 O
0.642 0.115 0.311 O
0.748 0.748 0.244 O
0.252 0.252 0.256 O
0.895 0.371 0.066 O
0.128 0.607 0.684 O
0.485 0.485 0.875 O
0.644 0.114 0.810 O
0.872 0.394 0.817 O
0.151 0.611 0.060 O
0.014 0.014 0.876 O
0.750 0.750 0.008 O
0.114 0.644 0.810 O
0.752 0.752 0.506 O
0.128 0.606 0.183 O
0.986 0.986 0.124 O
0.249 0.751 0.126 W
0.500 0.000 0.251 W
0.750 0.250 0.375 W
0.500 0.000 0.749 W
0.249 0.751 0.874 W
0.000 0.500 0.749 W
0.000 0.500 0.251 W
0.751 0.249 0.874 W
0.250 0.750 0.625 W
0.500 0.000 0.000 W
0.750 0.250 0.625 W
0.500 0.000 0.500 W
0.000 0.500 0.000 W
0.000 0.500 0.500 W
0.250 0.750 0.375 W
0.751 0.249 0.126 W
0.250 0.250 0.376 Na
0.500 0.500 0.000 Na
0.249 0.249 0.872 Na
0.751 0.751 0.128 Na
0.249 0.249 0.128 Na
0.750 0.750 0.624 Na
0.751 0.751 0.872 Na
0.250 0.250 0.624 Na
0.750 0.750 0.376 Na
```

***

No. 7
VASP calculation (PBEsol) on Na7W9O27 after structural relaxation.

Summary:
The density of states at the Fermi level is 0.178 states/eV/atom. Its magnetization is 0.000 μB per atom. The value obtained for the uncorrected energy is -0.630 Ry/atom. For the volume, the calculation gives 519.3 Å³/cell. For the raw formation energy, the calculation gives -8976 kJ/mol of formula units.

```
Na7W9O27
1.0
6.693 -0.022 -0.001
-2.209 8.356 0.025
-0.002 -1.817 9.288
O W Na
27 9 7
direct
0.058 0.165 0.777 O
0.944 0.833 0.722 O
0.890 0.670 0.945 O
0.441 0.333 0.720 O
0.167 0.500 0.333 O
0.386 0.168 0.445 O
0.666 0.997 0.833 O
0.947 0.832 0.221 O
0.330 0.000 0.165 O
0.170 0.502 0.833 O
0.059 0.168 0.277 O
0.554 0.664 0.277 O
0.274 0.832 0.389 O
0.722 0.167 0.111 O
0.222 0.667 0.611 O
0.278 0.833 0.889 O
0.722 0.167 0.611 O
0.779 0.336 0.389 O
0.500 0.500 0.500 O
0.611 0.832 0.557 O
0.114 0.333 0.057 O
0.003 0.001 0.502 O
0.834 0.501 0.665 O
0.611 0.832 0.053 O
0.386 0.165 0.945 O
0.498 0.502 0.001 O
0.833 0.501 0.169 O
0.942 0.332 0.221 W
0.722 0.667 0.111 W
0.612 0.331 0.556 W
0.502 0.001 0.001 W
0.278 0.333 0.889 W
0.390 0.668 0.444 W
0.833 0.002 0.667 W
0.166 0.000 0.333 W
0.054 0.665 0.778 W
0.106 0.330 0.555 Na
0.222 0.667 0.111 Na
0.448 0.330 0.221 Na
0.888 0.670 0.444 Na
0.557 0.664 0.779 Na
0.996 0.003 0.002 Na
0.339 0.003 0.667 Na
```

***

No. 8
VASP calculation (PBEsol) on NaW2O6 after structural relaxation.

Summary:
The value obtained for the distance to the lowest polymorph of the same formula is 0.000 eV/atom. The density of states at the Fermi level is 0.103 states/eV/atom. Its magnetization is 0.000 μB per atom. The value obtained for the uncorrected energy is -0.654 Ry/atom. For the volume, the calculation gives 225.3 Å³/cell. For the raw formation energy, the calculation gives -1892 kJ/mol of formula units.

```
NaW2O6
1.0
6.639 0.002 0.000
-2.225 6.255 0.000
-2.207 -3.129 5.424
W O Na
4 12 2
direct
0.500 0.500 0.500 W
0.500 0.000 0.000 W
0.000 0.000 0.500 W
0.000 0.500 0.000 W
0.766 0.234 0.000 O
0.234 0.234 0.467 O
0.512 0.266 0.246 O
0.766 0.766 0.533 O
0.234 0.766 0.000 O
0.734 0.980 0.246 O
0.266 0.512 0.246 O
0.734 0.488 0.754 O
0.020 0.266 0.754 O
0.266 0.020 0.754 O
0.488 0.734 0.754 O
0.980 0.734 0.246 O
0.000 0.000 0.000 Na
0.500 0.500 0.000 Na
```